(1)
An optimized crystal structure of Sc2Ta4Fe3N3, computed with GGA-PBE.

Lattice parameters (Å, degrees): 5.311 5.311 13.519 101.50 101.50 60.00
Fractional coordinates of all 24 atoms:
Sc 0.041 0.874 0.619
Sc 0.126 0.959 0.881
Sc 0.874 0.041 0.119
Sc 0.959 0.126 0.381
Ta 0.195 0.362 0.092
Ta 0.298 0.475 0.408
Ta 0.362 0.195 0.592
Ta 0.475 0.298 0.908
Ta 0.525 0.702 0.092
Ta 0.638 0.805 0.408
Ta 0.702 0.525 0.592
Ta 0.805 0.638 0.908
Fe 0.085 0.407 0.750
Fe 0.407 0.085 0.250
Fe 0.423 0.577 0.250
Fe 0.577 0.423 0.750
Fe 0.593 0.915 0.750
Fe 0.915 0.593 0.250
N 0.000 0.500 0.500
N 0.162 0.676 0.000
N 0.324 0.838 0.500
N 0.500 0.000 0.000
N 0.676 0.162 0.500
N 0.838 0.324 0.000

Results
Calculated volume = 13.390 Å³/atom
Space-group type = C2/c, No. 15
Electronic total energy = -237.6 eV for the cell shown
ρ = 10.57 g cm⁻³

***

(2)
An optimized crystal structure of KSnTe3Au, computed with GGA-PBE.

Lattice parameters (Å, degrees): 8.160 8.160 12.003 90.00 90.00 150.40
Fractional coordinates of all 12 atoms:
K 0.240 0.760 0.750
K 0.760 0.240 0.250
Sn 0.500 0.500 0.000
Sn 0.500 0.500 0.500
Te 0.137 0.863 0.036
Te 0.137 0.863 0.464
Te 0.455 0.545 0.250
Te 0.545 0.455 0.750
Te 0.863 0.137 0.536
Te 0.863 0.137 0.964
Au 0.083 0.917 0.250
Au 0.917 0.083 0.750

Results
Calculated volume = 32.895 Å³/atom
Space-group type = Cmcm, No. 63
Electronic total energy = -39.7 eV for the cell shown
Energy above the lowest structure with this stoichiometry = 45 meV per atom
ρ = 6.21 g cm⁻³

***

(3)
An optimized crystal structure of LuCuSbPd, computed with GGA-PBE.

Lattice parameters (Å, degrees): 6.686 6.686 6.686 90.00 90.00 90.00
Fractional coordinates of all 16 atoms:
Lu 0.000 0.000 0.000
Lu 0.000 0.500 0.500
Lu 0.500 0.000 0.500
Lu 0.500 0.500 0.000
Cu 0.250 0.250 0.750
Cu 0.250 0.750 0.250
Cu 0.750 0.250 0.250
Cu 0.750 0.750 0.750
Sb 0.000 0.000 0.500
Sb 0.000 0.500 0.000
Sb 0.500 0.000 0.000
Sb 0.500 0.500 0.500
Pd 0.250 0.250 0.250
Pd 0.250 0.750 0.750
Pd 0.750 0.250 0.750
Pd 0.750 0.750 0.250

Results
Calculated volume = 18.679 Å³/atom
Space-group type = F-43m, No. 216
Electronic total energy = -79.2 eV for the cell shown
Energy above the lowest structure with this stoichiometry = 0 meV per atom
ρ = 10.37 g cm⁻³

***

(4)
An optimized crystal structure of PrPPtO, computed with GGA-PBE.

Lattice parameters (Å, degrees): 4.743 4.153 7.081 90.00 90.00 90.00
Fractional coordinates of all 8 atoms:
Pr 0.000 0.243 0.000
Pr 0.000 0.757 0.500
P 0.500 0.242 0.674
P 0.500 0.758 0.174
Pt 0.500 0.259 0.339
Pt 0.500 0.741 0.839
O 0.000 0.258 0.336
O 0.000 0.742 0.836

Results
Calculated volume = 17.436 Å³/atom
Space-group type = Pmc2_1, No. 26
Electronic total energy = -54.4 eV for the cell shown
Energy above the lowest structure with this stoichiometry = 326 meV per atom
ρ = 9.12 g cm⁻³

***

(5)
An optimized crystal structure of KNbCdTe3, computed with GGA-PBE.

Lattice parameters (Å, degrees): 8.764 4.159 11.075 90.00 111.07 90.00
Fractional coordinates of all 12 atoms:
K 0.239 0.250 0.218
K 0.761 0.750 0.782
Nb 0.194 0.750 0.655
Nb 0.806 0.250 0.345
Cd 0.427 0.250 0.873
Cd 0.573 0.750 0.127
Te 0.047 0.750 0.377
Te 0.237 0.750 0.938
Te 0.410 0.250 0.614
Te 0.590 0.750 0.386
Te 0.763 0.250 0.062
Te 0.953 0.250 0.623

Results
Calculated volume = 31.389 Å³/atom
Space-group type = P2_1/m, No. 11
Electronic total energy = -48.3 eV for the cell shown
Energy above the lowest structure with this stoichiometry = 0 meV per atom
ρ = 5.53 g cm⁻³

***

(6)
An optimized crystal structure of ZrTc2Ge2, computed with GGA-PBE.

Lattice parameters (Å, degrees): 4.096 4.096 10.323 90.00 90.00 90.00
Fractional coordinates of all 10 atoms:
Zr 0.000 0.000 0.000
Zr 0.500 0.500 0.500
Tc 0.000 0.500 0.250
Tc 0.000 0.500 0.750
Tc 0.500 0.000 0.250
Tc 0.500 0.000 0.750
Ge 0.000 0.000 0.383
Ge 0.000 0.000 0.617
Ge 0.500 0.500 0.117
Ge 0.500 0.500 0.883

Results
Calculated volume = 17.320 Å³/atom
Space-group type = I4/mmm, No. 139
Electronic total energy = -79.2 eV for the cell shown
Energy above the lowest structure with this stoichiometry = 55 meV per atom
ρ = 8.29 g cm⁻³

***

- Among the records above, which one has the highest electronic total energy?
  KSnTe3Au

***

Please write out number 1 again, unchanged.
An optimized crystal structure of Sc2Ta4Fe3N3, computed with GGA-PBE.

Lattice parameters (Å, degrees): 5.311 5.311 13.519 101.50 101.50 60.00
Fractional coordinates of all 24 atoms:
Sc 0.041 0.874 0.619
Sc 0.126 0.959 0.881
Sc 0.874 0.041 0.119
Sc 0.959 0.126 0.381
Ta 0.195 0.362 0.092
Ta 0.298 0.475 0.408
Ta 0.362 0.195 0.592
Ta 0.475 0.298 0.908
Ta 0.525 0.702 0.092
Ta 0.638 0.805 0.408
Ta 0.702 0.525 0.592
Ta 0.805 0.638 0.908
Fe 0.085 0.407 0.750
Fe 0.407 0.085 0.250
Fe 0.423 0.577 0.250
Fe 0.577 0.423 0.750
Fe 0.593 0.915 0.750
Fe 0.915 0.593 0.250
N 0.000 0.500 0.500
N 0.162 0.676 0.000
N 0.324 0.838 0.500
N 0.500 0.000 0.000
N 0.676 0.162 0.500
N 0.838 0.324 0.000

Results
Calculated volume = 13.390 Å³/atom
Space-group type = C2/c, No. 15
Electronic total energy = -237.6 eV for the cell shown
ρ = 10.57 g cm⁻³

***

- ρ of number 2 (KSnTe3Au)?
  6.21 g cm⁻³

***

- The lowest ρ belongs to which entry?
  KNbCdTe3